Compound: Cs3CoTc
Source: the Alexandria database
Functional: PBEsol
Structure: relaxed

Unit cell a=5.6814 b=5.6814 c=5.6814 alpha=90.00 beta=90.00 gamma=90.00
Space group Pm-3m (No. 221)
Symmetry-distinct sites (fractional):
Cs 0.0000 0.0000 0.5000
Co 0.5000 0.5000 0.5000
Tc 0.0000 0.0000 0.0000

Computed properties:
magnetization	0.40	μB per atom
energy of formation	170.8	kJ per mole of atoms
E	-2.596	eV per atom